Li3Si | the Alexandria database | PBE | optimized geometry; crystal system = orthorhombic; ΔE_f (raw) = -40 kJ/mol of formula units; total magnetic moment = 0.1 μB/f.u.; space-group type = No. 25
1.0
4.2835 0.0000 0.0000
0.0000 3.2316 0.0000
0.0000 0.0000 4.2840
Si Li
1 3
Cartesian
2.1418 0.0000 2.5030
0.0000 0.0000 0.3525
0.0000 1.6158 2.4968
2.1418 1.6158 0.3597


Li4Si | the Alexandria database | PBE | optimized geometry; crystal system = orthorhombic; ΔE_f (raw) = -64 kJ/mol of formula units; total magnetic moment = 0.0 μB/f.u.; space-group type = No. 74
1.0
-1.4590 -1.0908 -3.9484
3.8003 -3.7827 -0.3593
-5.3178 -1.9914 4.9096
Li Si
8 2
Cartesian
0.2248 -1.7201 0.3921
-3.2013 -5.1448 0.2098
-0.7295 -0.5454 -1.9742
1.1706 -2.4367 -2.1538
-2.4861 -2.2305 -0.8596
-0.4905 -4.6344 1.4615
-2.5752 -2.5593 1.6586
-0.4013 -4.3056 -1.0567
-4.8768 -3.0135 0.2402
1.9003 -3.8513 0.3617


LiSi8 | the Alexandria database | PBE | optimized geometry; crystal system = tetragonal; ΔE_f (raw) = 327 kJ/mol of formula units; total magnetic moment = 0.0 μB/f.u.; space-group type = No. 139
1.0
-4.0324 4.0324 1.9689
4.0324 -4.0324 1.9689
4.0324 4.0324 -1.9689
Li Si
1 8
Cartesian
0.0000 0.0000 0.0000
-1.3228 1.3228 1.9689
1.3228 -1.3228 1.9689
5.3751 0.0000 0.0000
2.7095 2.7095 0.0000
0.0000 5.3751 0.0000
1.3228 1.3228 1.9689
2.6896 0.0000 0.0000
0.0000 2.6896 0.0000


LiSi3 | the Alexandria database | PBE | optimized geometry; crystal system = cubic; ΔE_f (raw) = 110 kJ/mol of formula units; total magnetic moment = 0.0 μB/f.u.; space-group type = No. 225
1.0
-2.5138 -3.5198 -0.2732
1.4805 -3.8325 1.3793
-1.6284 -1.7844 3.5981
Li Si
1 3
Cartesian
0.0000 0.0000 0.0000
-0.6654 -2.2842 1.1761
-1.3308 -4.5684 2.3522
-1.9962 -6.8525 3.5282


Q: Which of these has the highest ΔE_f (raw)?
A: LiSi8


Q: Which of these has the lowest ΔE_f (raw)?
A: Li4Si


Q: The highest total magnetic moment belongs to which entry?
A: Li3Si